Entry 1:
# Cs2TmPdO4 GGA-PBE optimized geometry
# Formation energy (no corrections) ... -1.4497 eV/atom
# Crystal system ... orthorhombic
data_Cs2TmPdO4
_chemical_formula_sum 'Cs16 Tm8 Pd8 O32'
_space_group_name_H-M_alt 'F d d d'
_space_group_IT_number 70
_cell_length_a 5.845
_cell_length_b 13.806
_cell_length_c 23.576
_cell_angle_alpha 90.00
_cell_angle_beta 90.00
_cell_angle_gamma 90.00
loop_
_space_group_symop_operation_xyz
'x,y,z'
'-x,-y,-z'
'-x+1/4,-y+1/4,z'
'x+1/4,y+1/4,-z'
'x,-y+1/4,-z+1/4'
'-x,y+1/4,z+1/4'
'-x+1/4,y,-z+1/4'
'x+1/4,-y,z+1/4'
'x,y+1/2,z+1/2'
'-x,-y+1/2,-z+1/2'
'-x+1/4,-y+3/4,z+1/2'
'x+1/4,y+3/4,-z+1/2'
'x,-y+3/4,-z+3/4'
'-x,y+3/4,z+3/4'
'-x+1/4,y+1/2,-z+3/4'
'x+1/4,-y+1/2,z+3/4'
'x+1/2,y,z+1/2'
'-x+1/2,-y,-z+1/2'
'-x+3/4,-y+1/4,z+1/2'
'x+3/4,y+1/4,-z+1/2'
'x+1/2,-y+1/4,-z+3/4'
'-x+1/2,y+1/4,z+3/4'
'-x+3/4,y,-z+3/4'
'x+3/4,-y,z+3/4'
'x+1/2,y+1/2,z'
'-x+1/2,-y+1/2,-z'
'-x+3/4,-y+3/4,z'
'x+3/4,y+3/4,-z'
'x+1/2,-y+3/4,-z+1/4'
'-x+1/2,y+3/4,z+1/4'
'-x+3/4,y+1/2,-z+1/4'
'x+3/4,-y+1/2,z+1/4'
loop_
_atom_site_label
_atom_site_fract_x
_atom_site_fract_y
_atom_site_fract_z
Cs1 0.125 0.125 0.313
Tm1 0.125 0.125 0.125
Pd1 0.125 0.125 0.625
O1 0.116 0.275 0.852



Entry 2:
# Ca2LaNi GGA-PBE optimized geometry
# Energy of formation from the pure elements ... 0.0502 eV/atom
# Crystal system ... tetragonal
data_Ca2LaNi
_chemical_formula_sum 'Ca2 La1 Ni1'
_space_group_name_H-M_alt 'P 4/m m m'
_space_group_IT_number 123
_space_group_name_Hall '-P 4 2'
_cell_length_a 3.524
_cell_length_b 3.524
_cell_length_c 9.442
_cell_angle_alpha 90.00
_cell_angle_beta 90.00
_cell_angle_gamma 90.00
loop_
_atom_site_label
_atom_site_fract_x
_atom_site_fract_y
_atom_site_fract_z
Ca1 0.000 0.000 0.176
La1 0.500 0.500 0.500
Ni1 0.500 0.500 0.000